Entry 1:
Cs2Gd2P: relaxed, PBE.

Computed properties:
The space group is No. 141. The electronic total energy is -25.16 eV for the cell shown. The value obtained for the size of the total moment is 0.09 μB per cell.

Lattice parameters (Å, degrees): 10.060 10.060 10.060 141.50 141.50 55.59
Atoms (fractional coordinates):
1 Cs 0.187 0.187 0.000
2 Cs 0.813 0.813 0.000
3 Cs 0.563 0.063 0.500
4 Cs 0.937 0.437 0.500
5 Gd 0.375 0.625 0.250
6 Gd 0.875 0.625 0.250
7 Gd 0.375 0.125 0.750
8 Gd 0.375 0.625 0.750
9 P 0.000 0.000 0.000
10 P 0.750 0.250 0.500



Entry 2:
CsRbGd2P2: relaxed, PBE.

Computed properties:
The space group is No. 99. The electronic total energy is -26.07 eV for the cell shown. The value obtained for the size of the total moment is 0.01 μB per cell.

Lattice parameters (Å, degrees): 5.064 5.064 8.155 90.00 90.00 90.00
Atoms (fractional coordinates):
1 Cs 0.000 0.000 0.378
2 Gd 0.500 0.000 0.996
3 Gd 0.000 0.500 0.996
4 P 0.500 0.500 0.161
5 P 0.000 0.000 0.844
6 Rb 0.500 0.500 0.624



Entry 3:
CsGdPa: relaxed, PBE.

Computed properties:
The space group is No. 216. The electronic total energy is -9.44 eV for the cell shown. The value obtained for the size of the total moment is 5.15 μB per cell.

Lattice parameters (Å, degrees): 5.777 5.777 5.777 60.00 60.00 60.00
Atoms (fractional coordinates):
1 Cs 0.250 0.250 0.250
2 Gd 0.750 0.750 0.750
3 Pa 0.000 0.000 0.000



Entry 4:
CsGdPd: relaxed, PBE.

Computed properties:
The space group is No. 216. The electronic total energy is -8.06 eV for the cell shown. The value obtained for the size of the total moment is 0.01 μB per cell.

Lattice parameters (Å, degrees): 5.015 5.015 5.015 60.00 60.00 60.00
Atoms (fractional coordinates):
1 Cs 0.000 0.000 0.000
2 Gd 0.750 0.750 0.750
3 Pd 0.250 0.250 0.250



Entry 5:
CsGdPdS3: relaxed, PBE.

Computed properties:
The space group is No. 63. The electronic total energy is -60.59 eV for the cell shown. The value obtained for the size of the total moment is 0.05 μB per cell.

Lattice parameters (Å, degrees): 8.332 8.332 10.039 90.00 90.00 151.30
Atoms (fractional coordinates):
1 Cs 0.251 0.749 0.250
2 Cs 0.749 0.251 0.750
3 Gd 0.500 0.500 0.000
4 Gd 0.500 0.500 0.500
5 Pd 0.994 0.006 0.250
6 Pd 0.006 0.994 0.750
7 S 0.894 0.106 0.074
8 S 0.577 0.423 0.250
9 S 0.894 0.106 0.426
10 S 0.106 0.894 0.574
11 S 0.423 0.577 0.750
12 S 0.106 0.894 0.926



Entry 6:
CsGdTe3Pd: relaxed, PBE.

Computed properties:
The space group is No. 63. The electronic total energy is -52.18 eV for the cell shown. The value obtained for the size of the total moment is 0.00 μB per cell.

Lattice parameters (Å, degrees): 9.627 9.627 10.201 90.00 90.00 153.07
Atoms (fractional coordinates):
1 Cs 0.251 0.749 0.250
2 Cs 0.749 0.251 0.750
3 Gd 0.500 0.500 0.000
4 Gd 0.500 0.500 0.500
5 Pd 0.006 0.994 0.250
6 Pd 0.994 0.006 0.750
7 Te 0.893 0.107 0.089
8 Te 0.592 0.408 0.250
9 Te 0.893 0.107 0.411
10 Te 0.107 0.893 0.589
11 Te 0.408 0.592 0.750
12 Te 0.107 0.893 0.911



Entry 7:
CsPmGd: relaxed, PBE.

Computed properties:
The space group is No. 216. The electronic total energy is -6.65 eV for the cell shown. The value obtained for the size of the total moment is 0.00 μB per cell.

Lattice parameters (Å, degrees): 5.578 5.578 5.578 60.00 60.00 60.00
Atoms (fractional coordinates):
1 Cs 0.000 0.000 0.000
2 Gd 0.750 0.750 0.750
3 Pm 0.250 0.250 0.250



Entry 8:
CsPrGd: relaxed, PBE.

Computed properties:
The space group is No. 216. The electronic total energy is -6.72 eV for the cell shown. The value obtained for the size of the total moment is 4.66 μB per cell.

Lattice parameters (Å, degrees): 6.094 6.094 6.094 60.00 60.00 60.00
Atoms (fractional coordinates):
1 Cs 0.250 0.250 0.250
2 Gd 0.750 0.750 0.750
3 Pr 0.000 0.000 0.000



Entry 9:
CsGdPu: relaxed, PBE.

Computed properties:
The space group is No. 216. The electronic total energy is -15.79 eV for the cell shown. The value obtained for the size of the total moment is 8.68 μB per cell.

Lattice parameters (Å, degrees): 6.164 6.164 6.164 60.00 60.00 60.00
Atoms (fractional coordinates):
1 Cs 0.000 0.000 0.000
2 Gd 0.500 0.500 0.500
3 Pu 0.750 0.750 0.750



Entry 10:
CsRbGd: relaxed, PBE.

Computed properties:
The value obtained for the energy above the most stable polymorph in this dataset is 0.000 eV/atom. The space group is No. 216. The value obtained for the size of the total moment is 2.66 μB per cell.

Lattice parameters (Å, degrees): 6.990 6.990 6.990 60.00 60.00 60.00
Atoms (fractional coordinates):
1 Cs 0.250 0.250 0.250
2 Gd 0.000 0.000 0.000
3 Rb 0.750 0.750 0.750



Entry 11:
CsRbGd2S4: relaxed, PBE.

Computed properties:
The space group is No. 187. The electronic total energy is -42.38 eV for the cell shown. The value obtained for the size of the total moment is 0.01 μB per cell.

Lattice parameters (Å, degrees): 4.122 4.122 15.752 90.00 90.00 120.00
Atoms (fractional coordinates):
1 Cs 0.000 0.000 0.000
2 Gd 0.667 0.333 0.256
3 Gd 0.667 0.333 0.744
4 Rb 0.333 0.667 0.500
5 S 0.333 0.667 0.161
6 S 0.000 0.000 0.350
7 S 0.000 0.000 0.650
8 S 0.333 0.667 0.839



Entry 12:
CsRbGd2Te4: relaxed, PBE.

Computed properties:
The space group is No. 187. The electronic total energy is -34.88 eV for the cell shown. The value obtained for the size of the total moment is 0.00 μB per cell.

Lattice parameters (Å, degrees): 4.569 4.569 17.472 90.00 90.00 120.00
Atoms (fractional coordinates):
1 Cs 0.000 0.000 0.500
2 Gd 0.333 0.667 0.246
3 Gd 0.333 0.667 0.754
4 Rb 0.667 0.333 0.000
5 Te 0.000 0.000 0.148
6 Te 0.667 0.333 0.344
7 Te 0.667 0.333 0.656
8 Te 0.000 0.000 0.852



Entry 13:
CsGdRe: relaxed, PBE.

Computed properties:
The space group is No. 216. The electronic total energy is -11.03 eV for the cell shown. The value obtained for the size of the total moment is 1.81 μB per cell.

Lattice parameters (Å, degrees): 4.983 4.983 4.983 60.00 60.00 60.00
Atoms (fractional coordinates):
1 Cs 0.000 0.000 0.000
2 Gd 0.750 0.750 0.750
3 Re 0.250 0.250 0.250



Entry 14:
Cs2GdScS4: relaxed, PBE.

Computed properties:
The space group is No. 164. The electronic total energy is -43.15 eV for the cell shown. The value obtained for the size of the total moment is 0.01 μB per cell.

Lattice parameters (Å, degrees): 4.023 4.023 15.965 90.00 90.00 120.00
Atoms (fractional coordinates):
1 Cs 0.333 0.667 0.256
2 Cs 0.667 0.333 0.744
3 Gd 0.000 0.000 0.000
4 S 0.667 0.333 0.095
5 S 0.667 0.333 0.416
6 S 0.333 0.667 0.584
7 S 0.333 0.667 0.905
8 Sc 0.000 0.000 0.500



Entry 15:
Cs2Gd2Se3S: relaxed, PBE.

Computed properties:
The space group is No. 156. The electronic total energy is -39.65 eV for the cell shown. The value obtained for the size of the total moment is 0.00 μB per cell.

Lattice parameters (Å, degrees): 4.257 4.257 16.595 90.00 90.00 120.00
Atoms (fractional coordinates):
1 Cs 0.000 0.000 0.247
2 Cs 0.333 0.667 0.756
3 Gd 0.667 0.333 0.501
4 Gd 0.667 0.333 0.994
5 S 0.000 0.000 0.909
6 Se 0.333 0.667 0.090
7 Se 0.333 0.667 0.406
8 Se 0.000 0.000 0.597



Entry 16:
Cs2Gd2SeS3: relaxed, PBE.

Computed properties:
The space group is No. 156. The electronic total energy is -41.33 eV for the cell shown. The value obtained for the size of the total moment is 0.01 μB per cell.

Lattice parameters (Å, degrees): 4.176 4.176 16.269 90.00 90.00 120.00
Atoms (fractional coordinates):
1 Cs 0.667 0.333 0.256
2 Cs 0.000 0.000 0.747
3 Gd 0.333 0.667 0.501
4 Gd 0.333 0.667 0.994
5 S 0.000 0.000 0.412
6 S 0.667 0.333 0.591
7 S 0.667 0.333 0.905
8 Se 0.000 0.000 0.094



Entry 17:
CsGdSiS4: relaxed, PBE.

Computed properties:
The space group is No. 19. The electronic total energy is -150.51 eV for the cell shown. The value obtained for the size of the total moment is 0.00 μB per cell.

Lattice parameters (Å, degrees): 6.410 6.733 17.902 90.00 90.00 90.00
Atoms (fractional coordinates):
1 Cs 0.999 0.008 0.032
2 Cs 0.001 0.508 0.468
3 Cs 0.501 0.992 0.532
4 Cs 0.499 0.492 0.968
5 Gd 0.292 0.479 0.229
6 Gd 0.708 0.979 0.271
7 Gd 0.208 0.521 0.729
8 Gd 0.792 0.021 0.771
9 S 0.053 0.512 0.097
10 S 0.567 0.747 0.147
11 S 0.606 0.252 0.156
12 S 0.110 0.074 0.221
13 S 0.890 0.574 0.279
14 S 0.394 0.752 0.344
15 S 0.433 0.247 0.353
16 S 0.947 0.012 0.403
17 S 0.447 0.488 0.597
18 S 0.933 0.253 0.647
19 S 0.894 0.748 0.656
20 S 0.390 0.926 0.721
21 S 0.610 0.426 0.779
22 S 0.106 0.248 0.844
23 S 0.067 0.753 0.853
24 S 0.553 0.988 0.903
25 Si 0.790 0.517 0.168
26 Si 0.210 0.017 0.332
27 Si 0.710 0.483 0.668
28 Si 0.290 0.983 0.832



Entry 18:
CsGdSnS3: relaxed, PBE.

Computed properties:
The space group is No. 63. The electronic total energy is -59.20 eV for the cell shown. The value obtained for the size of the total moment is 0.01 μB per cell.

Lattice parameters (Å, degrees): 8.890 8.890 11.518 90.00 90.00 153.78
Atoms (fractional coordinates):
1 Cs 0.690 0.310 0.250
2 Cs 0.310 0.690 0.750
3 Gd 0.000 0.000 0.000
4 Gd 0.000 0.000 0.500
5 S 0.393 0.607 0.009
6 S 0.994 0.006 0.250
7 S 0.393 0.607 0.491
8 S 0.607 0.393 0.509
9 S 0.006 0.994 0.750
10 S 0.607 0.393 0.991
11 Sn 0.392 0.608 0.250
12 Sn 0.608 0.392 0.750



Entry 19:
Cs2Gd2Te3S: relaxed, PBE.

Computed properties:
The space group is No. 156. The electronic total energy is -36.43 eV for the cell shown. The value obtained for the size of the total moment is 0.00 μB per cell.

Lattice parameters (Å, degrees): 4.452 4.452 17.503 90.00 90.00 120.00
Atoms (fractional coordinates):
1 Cs 0.667 0.333 0.236
2 Cs 0.000 0.000 0.756
3 Gd 0.333 0.667 0.016
4 Gd 0.333 0.667 0.496
5 S 0.000 0.000 0.091
6 Te 0.000 0.000 0.395
7 Te 0.667 0.333 0.596
8 Te 0.667 0.333 0.914



Entry 20:
CsGdZnS3: relaxed, PBE.

Computed properties:
The space group is No. 62. The electronic total energy is -111.07 eV for the cell shown. The value obtained for the size of the total moment is 0.02 μB per cell.

Lattice parameters (Å, degrees): 10.679 4.041 14.920 90.00 90.00 90.00
Atoms (fractional coordinates):
1 Cs 0.524 0.750 0.164
2 Cs 0.024 0.750 0.336
3 Cs 0.976 0.250 0.664
4 Cs 0.476 0.250 0.836
5 Gd 0.158 0.250 0.067
6 Gd 0.658 0.250 0.433
7 Gd 0.342 0.750 0.567
8 Gd 0.842 0.750 0.933
9 S 0.707 0.250 0.010
10 S 0.972 0.750 0.104
11 S 0.262 0.250 0.224
12 S 0.762 0.250 0.276
13 S 0.472 0.750 0.396
14 S 0.207 0.250 0.490
15 S 0.793 0.750 0.510
16 S 0.528 0.250 0.604
17 S 0.238 0.750 0.724
18 S 0.738 0.750 0.776
19 S 0.028 0.250 0.896
20 S 0.293 0.750 0.990
21 Zn 0.837 0.250 0.135
22 Zn 0.337 0.250 0.365
23 Zn 0.663 0.750 0.635
24 Zn 0.163 0.750 0.865